The following is a DFT calculation (GGA+U) of MgV2F6 after structural relaxation.

Structure (POSCAR):
```
MgV2F6
1.0
4.4351 0.0000 0.0000
0.0000 8.1695 -4.7166
0.0000 0.0000 9.4333
V F Mg
6 18 3
Direct
0.0000 0.0000 0.3389
0.0000 0.6611 0.6611
0.0000 0.0000 0.6611
0.0000 0.6611 0.0000
0.0000 0.3389 0.0000
0.0000 0.3389 0.3389
0.2185 0.8908 0.7817
0.2506 0.8790 0.4395
0.2185 0.2183 0.1092
0.7494 0.4395 0.8790
0.7815 0.7817 0.8908
0.7534 0.7731 0.5463
0.2185 0.8908 0.1092
0.7815 0.1092 0.8908
0.2466 0.5463 0.7731
0.2506 0.5605 0.1210
0.7815 0.1092 0.2183
0.2466 0.2269 0.7731
0.7534 0.7731 0.2269
0.7534 0.4537 0.2269
0.2506 0.5605 0.4395
0.2466 0.2269 0.4537
0.7494 0.4395 0.5605
0.7494 0.1210 0.5605
0.0000 0.0000 0.0000
0.4958 0.3333 0.6667
0.5042 0.6667 0.3333
```

Results
Energy ... -161.18 eV for the cell shown
Space-group type ... P-3m1, No. 164
Density ... 3.50 g cm⁻³
Total magnetization ... 6.0 μB/f.u.